{"formula": "ThNpCo2P2", "functional": "PBE", "state": "relaxed", "lattice": [[3.929, 0.000, 0.000], [-1.964, 3.402, 0.000], [0.000, 0.000, 7.671]], "species": ["Th", "Np", "Co", "Co", "P", "P"], "fractional_positions": [[0.000, 0.000, 0.000], [0.000, 0.000, 0.500], [0.333, 0.667, 0.711], [0.667, 0.333, 0.289], [0.333, 0.667, 0.250], [0.667, 0.333, 0.750]], "final_energy_ev_per_atom": -8.494, "sg": "P-3m1, No. 164", "dos_ef_per_ev_cell": 7.08}

***

{"formula": "ScTaZn2", "functional": "PBE", "state": "relaxed", "lattice": [[0.000, 3.245, 3.245], [3.245, 0.000, 3.245], [3.245, 3.245, 0.000]], "species": ["Sc", "Ta", "Zn", "Zn"], "fractional_positions": [[0.000, 0.000, 0.000], [0.500, 0.500, 0.500], [0.250, 0.250, 0.250], [0.750, 0.750, 0.750]], "e_above_lowest_polymorph_ev_per_atom": 0.084, "sg": "Fm-3m, No. 225", "dos_ef_per_ev_cell": 1.29}

***

{"formula": "Mg2PtCl", "functional": "PBE", "state": "relaxed", "lattice": [[7.491, -1.565, 0.000], [7.491, 1.565, 0.000], [-0.023, 0.000, 3.406]], "species": ["Mg", "Mg", "Pt", "Cl"], "fractional_positions": [[0.000, 0.000, 0.000], [0.203, 0.203, 0.006], [0.597, 0.597, 0.504], [0.835, 0.835, 0.023]], "e_above_lowest_polymorph_ev_per_atom": 0.000, "sg": "Cm, No. 8", "formation_energy_uncorrected_ev_per_atom": -0.99, "dos_ef_per_ev_cell": 1.16}

***

{"formula": "GeBiTe", "functional": "PBE", "state": "relaxed", "lattice": [[6.626, -2.139, 0.000], [6.626, 2.139, 0.000], [-0.903, 0.000, 6.395]], "species": ["Ge", "Ge", "Bi", "Bi", "Te", "Te"], "fractional_positions": [[0.156, 0.156, 0.308], [0.844, 0.844, 0.692], [0.496, 0.496, 0.239], [0.504, 0.504, 0.761], [0.191, 0.191, 0.740], [0.809, 0.809, 0.260]], "e_above_lowest_polymorph_ev_per_atom": 0.000, "sg": "C2/m, No. 12", "formation_energy_uncorrected_ev_per_atom": 0.05, "dos_ef_per_ev_cell": 2.50}

***

{"formula": "MgCoBIr2", "functional": "PBE", "state": "relaxed", "lattice": [[4.106, 0.000, 0.000], [0.000, 4.106, 0.000], [0.000, 0.000, 3.884]], "species": ["Mg", "Co", "B", "Ir", "Ir"], "fractional_positions": [[0.000, 0.000, 0.000], [0.500, 0.500, 0.000], [0.500, 0.500, 0.500], [0.000, 0.500, 0.500], [0.500, 0.000, 0.500]], "final_energy_ev_per_atom": -6.854, "sg": "P4/mmm, No. 123", "dos_ef_per_ev_cell": 3.47}

***

{"formula": "Co3Os4", "functional": "PBE", "state": "relaxed", "lattice": [[-1.337, 1.337, 12.613], [1.337, -1.337, 12.613], [1.337, 1.337, -12.613]], "species": ["Co", "Co", "Co", "Os", "Os", "Os", "Os"], "fractional_positions": [[0.000, 0.000, 0.000], [0.281, 0.281, 0.000], [0.719, 0.719, 0.000], [0.147, 0.147, 0.000], [0.428, 0.428, 0.000], [0.572, 0.572, 0.000], [0.853, 0.853, 0.000]], "final_energy_ev_per_atom": -9.282, "sg": "I4/mmm, No. 139", "dos_ef_per_ev_cell": 7.94}

***

{"formula": "LiZr2Cl", "functional": "PBE", "state": "relaxed", "lattice": [[0.000, 3.518, 3.518], [3.518, 0.000, 3.518], [3.518, 3.518, 0.000]], "species": ["Li", "Zr", "Zr", "Cl"], "fractional_positions": [[0.000, 0.000, 0.000], [0.500, 0.500, 0.500], [0.750, 0.750, 0.750], [0.250, 0.250, 0.250]], "e_above_lowest_polymorph_ev_per_atom": 1.069, "sg": "F-43m, No. 216", "formation_energy_uncorrected_ev_per_atom": 0.52, "dos_ef_per_ev_cell": 5.05}

***

{"formula": "Tb2Ga4Ru", "functional": "PBE", "state": "relaxed", "lattice": [[2.107, -11.239, 0.000], [2.107, 11.239, 0.000], [0.000, 0.000, 3.342]], "species": ["Tb", "Tb", "Ga", "Ga", "Ga", "Ga", "Ru"], "fractional_positions": [[0.186, 0.814, 0.000], [0.814, 0.186, 0.000], [0.063, 0.937, 0.500], [0.410, 0.590, 0.000], [0.590, 0.410, 0.000], [0.937, 0.063, 0.500], [0.500, 0.500, 0.500]], "final_energy_ev_per_atom": -4.392, "sg": "Cmmm, No. 65", "dos_ef_per_ev_cell": 7.31}

***

{"formula": "MgTe", "functional": "PBE", "state": "relaxed", "lattice": [[1.781, 1.028, 11.203], [-1.781, 1.028, 11.203], [0.000, -2.057, 11.203]], "species": ["Mg", "Mg", "Te", "Te"], "fractional_positions": [[0.129, 0.129, 0.129], [0.871, 0.871, 0.871], [0.400, 0.400, 0.400], [0.600, 0.600, 0.600]], "sg": "R-3m, No. 166", "formation_energy_uncorrected_ev_per_atom": -0.16, "dos_ef_per_ev_cell": 3.19}

***

{"formula": "SrGe2Se2", "functional": "PBE", "state": "relaxed", "lattice": [[-1.933, 1.933, 8.318], [1.933, -1.933, 8.318], [1.933, 1.933, -8.318]], "species": ["Sr", "Ge", "Ge", "Se", "Se"], "fractional_positions": [[0.000, 0.000, 0.000], [0.250, 0.750, 0.500], [0.750, 0.250, 0.500], [0.395, 0.395, 0.000], [0.605, 0.605, 0.000]], "e_above_lowest_polymorph_ev_per_atom": 0.000, "sg": "I4/mmm, No. 139", "formation_energy_uncorrected_ev_per_atom": -0.57, "dos_ef_per_ev_cell": 2.58}

***

{"formula": "LiZrAg2", "functional": "PBE", "state": "relaxed", "lattice": [[1.518, 0.877, 9.375], [-1.518, 0.877, 9.375], [0.000, -1.753, 9.375]], "species": ["Li", "Zr", "Ag", "Ag"], "fractional_positions": [[0.000, 0.000, 0.000], [0.500, 0.500, 0.500], [0.256, 0.256, 0.256], [0.744, 0.744, 0.744]], "final_energy_ev_per_atom": -4.053, "sg": "R-3m, No. 166", "dos_ef_per_ev_cell": 2.89}

***

{"formula": "PmPrSm2", "functional": "PBE", "state": "relaxed", "lattice": [[1.837, 1.061, 11.853], [-1.837, 1.061, 11.853], [0.000, -2.121, 11.853]], "species": ["Pm", "Pr", "Sm", "Sm"], "fractional_positions": [[0.000, 0.000, 0.000], [0.833, 0.833, 0.833], [0.251, 0.251, 0.251], [0.417, 0.417, 0.417]], "e_above_lowest_polymorph_ev_per_atom": 0.015, "sg": "R3m, No. 160", "dos_ef_per_ev_cell": 6.03}

***

{"formula": "CePa2Te6", "functional": "PBE", "state": "relaxed", "lattice": [[7.323, 0.000, 0.000], [0.000, 7.323, 0.000], [0.000, 0.000, 13.563]], "species": ["Ce", "Ce", "Pa", "Pa", "Pa", "Pa", "Te", "Te", "Te", "Te", "Te", "Te", "Te", "Te", "Te", "Te", "Te", "Te"], "fractional_positions": [[0.000, 0.000, 0.000], [0.500, 0.500, 0.500], [0.000, 0.000, 0.333], [0.000, 0.000, 0.667], [0.500, 0.500, 0.167], [0.500, 0.500, 0.833], [0.194, 0.194, 0.500], [0.205, 0.205, 0.174], [0.205, 0.205, 0.826], [0.295, 0.705, 0.326], [0.295, 0.705, 0.674], [0.306, 0.694, 0.000], [0.694, 0.306, 0.000], [0.705, 0.295, 0.326], [0.705, 0.295, 0.674], [0.795, 0.795, 0.174], [0.795, 0.795, 0.826], [0.806, 0.806, 0.500]], "sg": "P4_2/mnm, No. 136", "formation_energy_uncorrected_ev_per_atom": -0.83, "dos_ef_per_ev_cell": 28.44}

***

{"formula": "MnFe4", "functional": "PBE", "state": "relaxed", "lattice": [[-2.416, 2.416, 2.694], [2.416, -2.416, 2.694], [2.416, 2.416, -2.694]], "species": ["Mn", "Fe", "Fe", "Fe", "Fe"], "fractional_positions": [[0.000, 0.000, 0.000], [0.163, 0.163, 0.619], [0.456, 0.837, 0.000], [0.544, 0.544, 0.381], [0.837, 0.456, 0.000]], "e_above_lowest_polymorph_ev_per_atom": 0.497, "sg": "I-42m, No. 121", "dos_ef_per_ev_cell": 3.77}

***

{"formula": "Pm4NdNi2", "functional": "PBE", "state": "relaxed", "lattice": [[6.934, 0.000, 0.000], [0.000, 6.799, 0.000], [-3.454, 0.000, 8.375]], "species": ["Pm", "Pm", "Pm", "Pm", "Pm", "Pm", "Pm", "Pm", "Nd", "Nd", "Ni", "Ni", "Ni", "Ni"], "fractional_positions": [[0.038, 0.250, 0.296], [0.279, 0.000, 0.058], [0.279, 0.500, 0.058], [0.327, 0.750, 0.500], [0.673, 0.250, 0.500], [0.721, 0.000, 0.942], [0.721, 0.500, 0.942], [0.962, 0.750, 0.704], [0.243, 0.250, 0.702], [0.757, 0.750, 0.298], [0.041, 0.750, 0.164], [0.376, 0.750, 0.835], [0.624, 0.250, 0.165], [0.959, 0.250, 0.836]], "final_energy_ev_per_atom": -5.183, "sg": "P2_1/m, No. 11", "dos_ef_per_ev_cell": 16.74}

***

{"formula": "AlNi2Ag", "functional": "PBE", "state": "relaxed", "lattice": [[3.849, 0.000, 0.000], [0.000, 3.849, 0.000], [0.000, 0.000, 3.548]], "species": ["Al", "Ni", "Ni", "Ag"], "fractional_positions": [[0.000, 0.000, 0.000], [0.000, 0.500, 0.500], [0.500, 0.000, 0.500], [0.500, 0.500, 0.000]], "final_energy_ev_per_atom": -4.737, "sg": "P4/mmm, No. 123", "dos_ef_per_ev_cell": 1.40}

***

{"formula": "La2Br5", "functional": "PBE", "state": "relaxed", "lattice": [[8.078, 0.000, 0.000], [0.000, 4.252, 0.000], [-0.034, 0.000, 13.748]], "species": ["La", "La", "La", "La", "Br", "Br", "Br", "Br", "Br", "Br", "Br", "Br", "Br", "Br"], "fractional_positions": [[0.073, 0.250, 0.340], [0.426, 0.750, 0.158], [0.574, 0.250, 0.842], [0.927, 0.750, 0.660], [0.049, 0.750, 0.180], [0.149, 0.250, 0.568], [0.311, 0.250, 0.012], [0.336, 0.750, 0.772], [0.341, 0.750, 0.375], [0.659, 0.250, 0.625], [0.664, 0.250, 0.228], [0.689, 0.750, 0.988], [0.851, 0.750, 0.432], [0.951, 0.250, 0.820]], "e_above_lowest_polymorph_ev_per_atom": 0.000, "sg": "P2_1/m, No. 11", "formation_energy_uncorrected_ev_per_atom": -1.93, "dos_ef_per_ev_cell": 1.59}

***

{"formula": "AlRe5", "functional": "PBE", "state": "relaxed", "lattice": [[2.202, -6.698, 0.000], [2.202, 6.698, 0.000], [0.000, 0.000, 3.000]], "species": ["Al", "Re", "Re", "Re", "Re", "Re"], "fractional_positions": [[0.000, 0.000, 0.000], [0.156, 0.844, 0.500], [0.324, 0.676, 0.000], [0.500, 0.500, 0.500], [0.676, 0.324, 0.000], [0.844, 0.156, 0.500]], "e_above_lowest_polymorph_ev_per_atom": 0.096, "sg": "Cmmm, No. 65", "dos_ef_per_ev_cell": 4.60}

***

{"formula": "SrPaBN3", "functional": "PBE", "state": "relaxed", "lattice": [[5.690, 0.000, 0.000], [-2.845, 4.927, 0.000], [0.000, 0.000, 6.177]], "species": ["Sr", "Sr", "Pa", "Pa", "B", "B", "N", "N", "N", "N", "N", "N"], "fractional_positions": [[0.333, 0.667, 0.250], [0.667, 0.333, 0.750], [0.000, 0.000, 0.000], [0.000, 0.000, 0.500], [0.333, 0.667, 0.750], [0.667, 0.333, 0.250], [0.183, 0.367, 0.750], [0.183, 0.817, 0.750], [0.367, 0.183, 0.250], [0.633, 0.817, 0.750], [0.817, 0.183, 0.250], [0.817, 0.633, 0.250]], "sg": "P6_3/mmc, No. 194", "formation_energy_uncorrected_ev_per_atom": -1.17, "dos_ef_per_ev_cell": 3.71}

***

{"formula": "Tl2H6PdAu", "functional": "PBE", "state": "relaxed", "lattice": [[3.576, -3.574, 0.000], [3.576, 3.574, 0.000], [-3.534, 0.000, 4.983]], "species": ["Tl", "Tl", "H", "H", "H", "H", "H", "H", "Pd", "Au"], "fractional_positions": [[0.249, 0.751, 0.000], [0.751, 0.249, 0.000], [0.268, 0.773, 0.539], [0.271, 0.271, 0.542], [0.337, 0.337, 0.162], [0.773, 0.268, 0.539], [0.775, 0.775, 0.542], [0.868, 0.868, 0.210], [0.021, 0.021, 0.539], [0.511, 0.511, 0.520]], "final_energy_ev_per_atom": -3.150, "sg": "Cm, No. 8", "dos_ef_per_ev_cell": 1.79}

***

{"formula": "TbHoO2", "functional": "PBE", "state": "relaxed", "lattice": [[1.795, 1.036, 6.512], [-1.795, 1.036, 6.512], [0.000, -2.073, 6.512]], "species": ["Tb", "Ho", "O", "O"], "fractional_positions": [[0.000, 0.000, 0.000], [0.500, 0.500, 0.500], [0.113, 0.113, 0.113], [0.887, 0.887, 0.887]], "sg": "R-3m, No. 166", "formation_energy_uncorrected_ev_per_atom": -2.92, "dos_ef_per_ev_cell": 1.06}

***

{"formula": "KSrCr2", "functional": "PBE", "state": "relaxed", "lattice": [[-2.541, 2.541, 5.135], [2.541, -2.541, 5.135], [2.541, 2.541, -5.135]], "species": ["K", "Sr", "Cr", "Cr"], "fractional_positions": [[0.000, 0.000, 0.000], [0.250, 0.750, 0.500], [0.500, 0.500, 0.000], [0.750, 0.250, 0.500]], "e_above_lowest_polymorph_ev_per_atom": 0.422, "sg": "I-4m2, No. 119", "dos_ef_per_ev_cell": 3.34}

***

{"formula": "AcPd5Au2", "functional": "PBE", "state": "relaxed", "lattice": [[-2.046, 3.800, 5.157], [2.046, -3.800, 5.157], [2.046, 3.800, -5.157]], "species": ["Ac", "Pd", "Pd", "Pd", "Pd", "Pd", "Au", "Au"], "fractional_positions": [[0.000, 0.000, 0.000], [0.185, 0.366, 0.819], [0.453, 0.634, 0.819], [0.500, 0.000, 0.500], [0.547, 0.366, 0.181], [0.815, 0.634, 0.181], [0.239, 0.739, 0.500], [0.761, 0.261, 0.500]], "final_energy_ev_per_atom": -4.881, "sg": "Immm, No. 71", "dos_ef_per_ev_cell": 6.54}

***

{"formula": "Sc5In2IrRh2", "functional": "PBE", "state": "relaxed", "lattice": [[11.042, 0.000, 0.000], [0.000, 11.042, 0.000], [0.000, 0.000, 3.313]], "species": ["Sc", "Sc", "Sc", "Sc", "Sc", "Sc", "Sc", "Sc", "Sc", "Sc", "In", "In", "In", "In", "Ir", "Ir", "Rh", "Rh", "Rh", "Rh"], "fractional_positions": [[0.000, 0.500, 0.000], [0.068, 0.193, 0.000], [0.193, 0.932, 0.000], [0.307, 0.432, 0.000], [0.432, 0.693, 0.000], [0.500, 0.000, 0.000], [0.568, 0.307, 0.000], [0.693, 0.568, 0.000], [0.807, 0.068, 0.000], [0.932, 0.807, 0.000], [0.173, 0.673, 0.500], [0.327, 0.173, 0.500], [0.673, 0.827, 0.500], [0.827, 0.327, 0.500], [0.000, 0.000, 0.500], [0.500, 0.500, 0.500], [0.134, 0.366, 0.500], [0.366, 0.866, 0.500], [0.634, 0.134, 0.500], [0.866, 0.634, 0.500]], "final_energy_ev_per_atom": -6.774, "sg": "P4/mbm, No. 127", "dos_ef_per_ev_cell": 12.55}

***

{"formula": "CaTiCd", "functional": "PBE", "state": "relaxed", "lattice": [[3.247, 0.000, 0.000], [0.510, 5.560, 0.000], [1.185, 0.963, 8.110]], "species": ["Ca", "Ca", "Ti", "Ti", "Cd", "Cd"], "fractional_positions": [[0.000, 0.000, 0.000], [0.140, 0.540, 0.725], [0.625, 0.067, 0.596], [0.965, 0.331, 0.386], [0.361, 0.818, 0.356], [0.503, 0.485, 0.084]], "e_above_lowest_polymorph_ev_per_atom": 0.070, "sg": "P1, No. 1", "dos_ef_per_ev_cell": 6.53}